Mg3AgIr: optimized geometry, PBE.

Polymorph energy (0 for the lowest one) in kJ/mol of formula units: 0
Formation energy in eV/atom: -0.26

a = 4.665 Å, b = 4.664 Å, c = 8.381 Å
α = 90.00°, β = 106.16°, γ = 90.00°
Atoms (fractional coordinates):
Ir: 0.160 0.345 0.602
Mg: 0.765 0.344 0.811
Mg: 0.578 0.344 0.438
Mg: 0.071 0.844 0.424
Mg: 0.261 0.844 0.804
Ag: 0.357 0.344 0.995
Ag: 0.669 0.844 0.620
Ir: 0.865 0.844 0.013
Mg: 0.448 0.844 0.177
Mg: 0.954 0.344 0.190

NaCuRhS2: optimized geometry, PBE.

Uncorrected energy in eV per atom: -4.59

a = 5.170 Å, b = 5.536 Å, c = 7.061 Å
α = 113.08°, β = 90.00°, γ = 90.00°
Atoms (fractional coordinates):
Rh: 0.500 0.250 0.000
Cu: 0.000 0.000 0.000
S: 0.716 0.623 0.246
S: 0.284 0.123 0.246
S: 0.284 0.377 0.754
Na: 0.755 0.250 0.500
S: 0.716 0.877 0.754
Cu: 0.000 0.500 0.000
Rh: 0.500 0.750 0.000
Na: 0.245 0.750 0.500

SrScBe4: optimized geometry, PBE.

Formation energy in eV/atom: 0.31

a = 5.060 Å, b = 5.060 Å, c = 5.060 Å
α = 60.00°, β = 60.00°, γ = 60.00°
Atoms (fractional coordinates):
Sr: 0.000 0.000 0.000
Be: 0.383 0.852 0.383
Be: 0.383 0.383 0.852
Be: 0.852 0.383 0.383
Be: 0.383 0.383 0.383
Sc: 0.750 0.750 0.750

Mg2MoRu: optimized geometry, PBE.

Polymorph energy (0 for the lowest one) in kJ/mol of formula units: 91
Formation energy in eV/atom: 0.22

a = 5.406 Å, b = 5.406 Å, c = 4.468 Å
α = 65.47°, β = 65.47°, γ = 33.64°
Atoms (fractional coordinates):
Mg: 0.987 0.987 0.013
Mg: 0.513 0.513 0.487
Mo: 0.750 0.750 0.750
Ru: 0.250 0.250 0.250

no.,D(E_F) (states/eV per cell)
1,3.89
2,7.07
3,3.23
4,2.66